Material: Mn5FeRe2B2
Method: DFT, PBE
State: optimized geometry

Cell lengths 8.650, 8.650, 2.809 Å; angles 90.00, 90.00, 90.00 degrees
Space group P4/mbm (No. 127)
Symmetry-distinct sites (fractional):
Mn 0.000 0.500 0.000 [2 per cell]
Mn 0.066 0.214 0.000 [8 per cell]
Fe 0.000 0.000 0.500 [2 per cell]
Re 0.178 0.678 0.500 [4 per cell]
B 0.123 0.377 0.500 [4 per cell]

Computed properties:
final energy = -188.826 eV for the cell shown
ρ = 11.4 g cm⁻³
DFT formation energy = -0.1851 eV/atom